1.
DFT (PBE) results for a geometry-optimized Pm12Ru3N5 structure.

Properties
E_tot	-7.01	eV per atom

Cell and atoms, written as CIF:
```
data_Pm12Ru3N5
_chemical_formula_sum 'Pm96 Ru24 N40'
_cell_length_a 15.5895
_cell_length_b 15.5895
_cell_length_c 15.5895
_cell_angle_alpha 90.00
_cell_angle_beta 90.00
_cell_angle_gamma 90.00
_space_group_name_H-M_alt 'I a -3 d'
_space_group_IT_number 230
_space_group_name_Hall '-I 4bd 2c 3'
loop_
_atom_site_label
_atom_site_type_symbol
_atom_site_fract_x
_atom_site_fract_y
_atom_site_fract_z
_atom_site_occupancy
Pm1 Pm 0.0293 0.0548 0.6510 1
Ru1 Ru 0.0000 0.2500 0.1250 1
N1 N 0.0000 0.0000 0.0000 1
N2 N 0.0000 0.2500 0.3750 1
```

2.
DFT (PBE) results for a geometry-optimized Pm2RuN3 structure.

Properties
E_tot	-8.13	eV per atom

Cell and atoms, written as CIF:
```
data_Pm2RuN3
_chemical_formula_sum 'Pm16 Ru8 N24'
_cell_length_a 5.3038
_cell_length_b 11.0699
_cell_length_c 11.9280
_cell_angle_alpha 90.00
_cell_angle_beta 94.32
_cell_angle_gamma 90.00
_space_group_name_H-M_alt 'C 1 2/c 1'
_space_group_IT_number 15
loop_
_space_group_symop_operation_xyz
'x,y,z'
'-x,-y,-z'
'-x,y,-z+1/2'
'x,-y,z+1/2'
'x+1/2,y+1/2,z'
'-x+1/2,-y+1/2,-z'
'-x+1/2,y+1/2,-z+1/2'
'x+1/2,-y+1/2,z+1/2'
loop_
_atom_site_label
_atom_site_type_symbol
_atom_site_fract_x
_atom_site_fract_y
_atom_site_fract_z
_atom_site_occupancy
Pm1 Pm 0.2289 0.2061 0.3549 1
Pm2 Pm 0.2377 0.1049 0.9349 1
Ru1 Ru 0.2078 0.4928 0.8271 1
N1 N 0.0000 0.0134 0.2500 1
N2 N 0.0000 0.3774 0.2500 1
N3 N 0.2008 0.3134 0.8709 1
N4 N 0.2422 0.1014 0.5320 1
```

3.
DFT (PBE) results for a geometry-optimized Pm3RuN structure.

Properties
distance to the lowest polymorph of the same formula	0.792	eV per formula unit
E_tot	-6.81	eV per atom

Cell and atoms, written as CIF:
```
data_Pm3RuN
_chemical_formula_sum 'Pm3 Ru1 N1'
_cell_length_a 4.8596
_cell_length_b 4.8596
_cell_length_c 4.8596
_cell_angle_alpha 90.00
_cell_angle_beta 90.00
_cell_angle_gamma 90.00
_space_group_name_H-M_alt 'P m -3 m'
_space_group_IT_number 221
_space_group_name_Hall '-P 4 2 3'
loop_
_atom_site_label
_atom_site_type_symbol
_atom_site_fract_x
_atom_site_fract_y
_atom_site_fract_z
_atom_site_occupancy
Pm1 Pm 0.0000 0.0000 0.5000 1
Ru1 Ru 0.5000 0.5000 0.5000 1
N1 N 0.0000 0.0000 0.0000 1
```

| no. | formation energy without anion corrections (eV/atom) |
| --- | --- |
| 1 | -0.68 |
| 2 | -0.84 |
| 3 | -0.44 |